A plane-wave DFT calculation with GGA+U was carried out for a relaxed NbV2HgO8 crystal.

Calculated values
The value obtained for the total DFT energy (no corrections) is -7.1927 eV/atom. For the volume, the calculation gives 18.0 Å³/atom. The mass density is 4.0 g/cm³. Its space-group type is C2/m, No. 12.

abc: 5.4887 5.4887 8.1377
angles: 99.28 99.28 63.67
Closest atoms and distances in Å follow each position.
Element x y z (fractional)
Nb (0.0000, 0.0000, 0.0000)  6 O 1.99-2.02
V (0.3185, 0.3185, 0.7904)  4 O 1.75-1.77
V (0.6815, 0.6815, 0.2096)  4 O 1.75-1.77
Hg (0.0000, 0.0000, 0.5000)  2 O 2.06
O (0.1721, 0.6795, 0.8291)  1 V 1.77
O (0.1897, 0.1897, 0.9218)  1 V 1.75
O (0.2224, 0.2224, 0.5839)  1 V 1.75
O (0.3205, 0.8279, 0.1709)  1 V 1.77
O (0.6795, 0.1721, 0.8291)  1 V 1.77
O (0.7776, 0.7776, 0.4161)  1 V 1.75
O (0.8103, 0.8103, 0.0782)  1 V 1.75
O (0.8279, 0.3205, 0.1709)  1 V 1.77